A geometry-optimized ZnPbSe2 structure, computed with GGA-PBE.

Lattice parameters (Å, degrees): 4.1912 4.1912 5.3949 90.00 90.00 90.00
With the nearest neighbours (Å) after each atom.
Fractional coordinates of all 4 atoms:
Zn: 0.0000 0.0000 0.0000  4 Pb 2.96
Pb: 0.5000 0.5000 0.0000  4 Zn 2.96
Se: 0.0000 0.5000 0.5000  4 Se 2.96
Se: 0.5000 0.0000 0.5000  4 Se 2.96

As for the energy relative to the elements, uncorrected: 0.13 eV/atom.



A geometry-optimized ZnPbSe3 structure, computed with GGA-PBE.

Lattice parameters (Å, degrees): 4.9923 4.9923 4.9923 90.00 90.00 90.00
With the nearest neighbours (Å) after each atom.
Fractional coordinates of all 5 atoms:
Zn: 0.0000 0.0000 0.0000  6 Se 2.50
Pb: 0.5000 0.5000 0.5000  12 Se 3.53
Se: 0.0000 0.0000 0.5000  2 Zn 2.50
Se: 0.0000 0.5000 0.0000  2 Zn 2.50
Se: 0.5000 0.0000 0.0000  2 Zn 2.50

As for the energy relative to the elements, uncorrected: -0.01 eV/atom.



> Which of these has the highest energy relative to the elements, uncorrected?

ZnPbSe2



Copy entry 2 word for word.
A geometry-optimized ZnPbSe3 structure, computed with GGA-PBE.

Lattice parameters (Å, degrees): 4.9923 4.9923 4.9923 90.00 90.00 90.00
With the nearest neighbours (Å) after each atom.
Fractional coordinates of all 5 atoms:
Zn: 0.0000 0.0000 0.0000  6 Se 2.50
Pb: 0.5000 0.5000 0.5000  12 Se 3.53
Se: 0.0000 0.0000 0.5000  2 Zn 2.50
Se: 0.0000 0.5000 0.0000  2 Zn 2.50
Se: 0.5000 0.0000 0.0000  2 Zn 2.50

As for the energy relative to the elements, uncorrected: -0.01 eV/atom.